Entry 1:
GdHoAs2Pt2: optimized geometry, PBE-GGA. Values from VASP.

Cell and atoms, written as Quantum ESPRESSO input:
```
&SYSTEM
  ibrav = 0, nat = 12, ntyp = 4
/
ATOMIC_SPECIES
Gd 157.25 Gd.upf
Ho 164.93 Ho.upf
As 74.92 As.upf
Pt 195.08 Pt.upf
CELL_PARAMETERS angstrom
4.2975 0.0000 0.0000
-2.1487 3.7217 0.0000
0.0000 0.0000 15.2604
ATOMIC_POSITIONS crystal
Gd 0.0000 0.0000 0.0000
Gd 0.0000 0.0000 0.5000
Ho 0.0000 0.0000 0.2500
Ho 0.0000 0.0000 0.7500
As 0.3333 0.6667 0.1169
As 0.3333 0.6667 0.3831
As 0.6667 0.3333 0.6169
As 0.6667 0.3333 0.8831
Pt 0.3333 0.6667 0.6394
Pt 0.3333 0.6667 0.8606
Pt 0.6667 0.3333 0.1394
Pt 0.6667 0.3333 0.3606
```

Output
**V**: 20.3 A^3/atom
**VASP energy**: -6.35 eV per atom
**E above lowest polymorph**: 0 meV/atom
**Size of the total moment**: 0.0 μB/cell



Entry 2:
LiYZn2: optimized geometry, PBE-GGA. Values from VASP.

Cell and atoms, written as Quantum ESPRESSO input:
```
&SYSTEM
  ibrav = 0, nat = 4, ntyp = 3
/
ATOMIC_SPECIES
Li 6.94 Li.upf
Y 88.91 Y.upf
Zn 65.41 Zn.upf
CELL_PARAMETERS angstrom
0.0000 3.2694 3.2694
3.2694 0.0000 3.2694
3.2694 3.2694 0.0000
ATOMIC_POSITIONS crystal
Li 0.0000 0.0000 0.0000
Y 0.2500 0.2500 0.2500
Zn 0.5000 0.5000 0.5000
Zn 0.7500 0.7500 0.7500
```

Output
**V**: 17.5 A^3/atom
**VASP energy**: -2.98 eV per atom
**Size of the total moment**: 0.0 μB/cell



Entry 3:
LaTb2Sn2Pb5: optimized geometry, PBE-GGA. Values from VASP.

Cell and atoms, written as Quantum ESPRESSO input:
```
&SYSTEM
  ibrav = 0, nat = 10, ntyp = 4
/
ATOMIC_SPECIES
La 138.91 La.upf
Tb 158.93 Tb.upf
Sn 118.71 Sn.upf
Pb 207.20 Pb.upf
CELL_PARAMETERS angstrom
2.3610 -12.8595 0.0000
2.3610 12.8595 0.0000
0.0000 0.0000 4.7116
ATOMIC_POSITIONS crystal
La 0.0000 0.0000 0.0000
Tb 0.1879 0.8121 0.0000
Tb 0.8121 0.1879 0.0000
Sn 0.0999 0.9001 0.5000
Sn 0.9001 0.0999 0.5000
Pb 0.2943 0.7057 0.5000
Pb 0.4012 0.5988 0.0000
Pb 0.5000 0.5000 0.5000
Pb 0.5988 0.4012 0.0000
Pb 0.7057 0.2943 0.5000
```

Output
**V**: 28.6 A^3/atom
**VASP energy**: -4.53 eV per atom
**E above lowest polymorph**: 6 meV/atom
**Size of the total moment**: 0.0 μB/cell



Entry 4:
KHfCu3S4: optimized geometry, PBE-GGA. Values from VASP.

Cell and atoms, written as Quantum ESPRESSO input:
```
&SYSTEM
  ibrav = 0, nat = 18, ntyp = 4
/
ATOMIC_SPECIES
K 39.10 K.upf
Hf 178.49 Hf.upf
Cu 63.55 Cu.upf
S 32.06 S.upf
CELL_PARAMETERS angstrom
5.6734 0.0000 0.0000
0.0000 7.2950 0.0000
-2.4496 0.0000 9.3130
ATOMIC_POSITIONS crystal
K 0.2251 0.2500 0.3859
K 0.7749 0.7500 0.6141
Hf 0.1227 0.2500 0.8012
Hf 0.8773 0.7500 0.1988
Cu 0.2861 0.5516 0.0188
Cu 0.2861 0.9484 0.0188
Cu 0.4132 0.7500 0.2514
Cu 0.5868 0.2500 0.7486
Cu 0.7139 0.0516 0.9812
Cu 0.7139 0.4484 0.9812
S 0.0473 0.2500 0.0395
S 0.1975 0.7500 0.4145
S 0.3790 0.5105 0.7886
S 0.3790 0.9895 0.7886
S 0.6210 0.0105 0.2114
S 0.6210 0.4895 0.2114
S 0.8025 0.2500 0.5855
S 0.9527 0.7500 0.9605
```

Output
**V**: 21.4 A^3/atom
**VASP energy**: -5.14 eV per atom
**E above lowest polymorph**: 0 meV/atom
**Size of the total moment**: 0.0 μB/cell